1.
CaTa2Si GGA-PBE optimized geometry; symmetry = R-3m (166); electronic total energy = -7.378 eV/atom; total moment = 0.000 μB per atom; uncorrected formation energy = 0.40 eV per atom; D(E_F) = 3.7 states/eV per cell
1.0
1.502 0.867 9.926
-1.502 0.867 9.926
0.000 -1.734 9.926
Ca Ta Si
1 2 1
direct
0.000 0.000 0.000
0.239 0.239 0.239
0.761 0.761 0.761
0.500 0.500 0.500



2.
Ca2TaSi GGA-PBE optimized geometry; symmetry = Pmmm (47); electronic total energy = -4.899 eV/atom; total moment = 0.000 μB per atom; uncorrected formation energy = 0.42 eV per atom; D(E_F) = 3.9 states/eV per cell
1.0
3.234 0.000 0.000
0.000 4.690 0.000
0.000 0.000 5.933
Ca Ta Si
2 1 1
direct
0.000 0.000 0.243
0.000 0.000 0.757
0.500 0.500 0.500
0.500 0.500 0.000